MnW2I | PBE | relaxed

Cell: 4.539 4.539 4.539 Å, 60.00 60.00 60.00°
Each line ends with the local moment (μB).
Element x y z (fractional)
1 W 0.750 0.750 0.750  -0.24
2 W 0.250 0.250 0.250  -0.24
3 I 0.500 0.500 0.500  0.06
4 Mn 0.000 0.000 0.000  2.62

Summary:
**Excess energy over the best structure of this formula in the dataset**: 0.00 kcal/mol of atoms
**Theoretical density**: 13.80 g/cm³
**Uncorrected formation energy**: 426.2 kJ/mol of formula units

---

Nd4TlAg | PBE | relaxed

Cell: 3.775 3.775 13.056 Å, 89.99 90.00 90.00°
Each line ends with the local moment (μB).
Element x y z (fractional)
1 Nd 0.000 0.000 0.644  0.17
2 Nd 0.000 0.000 0.356  0.17
3 Nd 0.500 0.500 0.840  0.18
4 Nd 0.500 0.500 0.160  0.18
5 Tl 0.000 0.000 0.000  0.00
6 Ag 0.500 0.500 0.500  0.01

Summary:
**Calculated formation energy**: -183 meV/atom
**Theoretical density**: 7.94 g/cm³

---

LiTm2OsO6 | PBE | relaxed

Cell: 5.457 5.457 5.870 Å, 62.30 62.30 60.00°
Each line ends with the local moment (μB).
Element x y z (fractional)
1 O 0.962 0.579 0.231  0.14
2 O 0.579 0.228 0.231  0.14
3 O 0.120 0.425 0.763  0.09
4 O 0.692 0.120 0.763  0.09
5 O 0.425 0.692 0.763  0.09
6 O 0.228 0.962 0.231  0.14
7 Tm 0.527 0.527 0.420  0.09
8 Tm 0.019 0.019 0.943  0.04
9 Os 0.326 0.326 0.023  1.99
10 Li 0.784 0.784 0.647  0.01

Summary:
**Theoretical density**: 8.20 g/cm³
**Uncorrected formation energy**: -2368.1 kJ/mol of formula units

---

Tm4HS5 | PBE | relaxed

Cell: 3.886 10.078 7.487 Å, 107.67 105.04 90.00°
Element x y z (fractional)
1 S 0.500 0.500 0.000
2 S 0.849 0.112 0.697
3 S 0.838 0.739 0.676
4 S 0.151 0.888 0.303
5 S 0.162 0.261 0.324
6 H 0.500 0.000 0.000
7 Tm 0.995 0.678 0.990
8 Tm 0.347 0.920 0.693
9 Tm 0.005 0.322 0.010
10 Tm 0.653 0.080 0.307

Summary:
**Total energy**: -5.833 eV per atom
**Theoretical density**: 5.17 g/cm³

---

CsNaLi2In | PBE | relaxed

Cell: 5.659 5.659 6.049 Å, 90.00 90.00 90.00°
Element x y z (fractional)
1 Li 0.500 0.000 0.000
2 Li 0.000 0.500 0.000
3 Cs 0.500 0.500 0.500
4 Na 0.000 0.000 0.500
5 In 0.000 0.000 0.000

Summary:
**Calculated formation energy**: 23 meV/atom
**Theoretical density**: 2.44 g/cm³

---

KRb2Mg | PBE | relaxed

Cell: 6.198 6.291 6.291 Å, 90.00 90.00 90.00°
Element x y z (fractional)
1 Rb 0.000 0.000 0.500
2 Rb 0.000 0.500 0.000
3 Mg 0.500 0.000 0.000
4 K 0.500 0.500 0.500

Summary:
**Calculated formation energy**: 166 meV/atom
**Theoretical density**: 1.59 g/cm³

---

KRbAl2Br8 | PBE | relaxed

Cell: 7.229 7.229 11.021 Å, 70.86 70.86 60.00°
Element x y z (fractional)
1 K 0.000 0.000 0.000
2 Br 0.321 0.940 0.195
3 Br 0.060 0.457 0.805
4 Br 0.832 0.832 0.503
5 Br 0.168 0.168 0.497
6 Br 0.679 0.060 0.805
7 Br 0.457 0.679 0.805
8 Br 0.543 0.321 0.195
9 Br 0.940 0.543 0.195
10 Al 0.756 0.756 0.731
11 Al 0.244 0.244 0.269
12 Rb 0.500 0.500 0.500

Summary:
**Theoretical density**: 2.94 g/cm³
**Uncorrected formation energy**: -1616.3 kJ/mol of formula units

---

CsMn2SnBr8 | PBE | relaxed

Cell: 7.041 7.041 10.340 Å, 90.00 90.00 120.00°
Each line ends with the local moment (μB).
Element x y z (fractional)
1 Mn 0.667 0.333 0.263  4.14
2 Mn 0.333 0.667 0.737  4.14
3 Br 0.333 0.667 0.969  0.06
4 Br 0.676 0.674 0.668  -0.02
5 Br 0.999 0.324 0.668  -0.02
6 Br 0.667 0.333 0.031  0.06
7 Br 0.674 0.999 0.332  -0.02
8 Br 0.324 0.326 0.332  -0.02
9 Br 0.001 0.676 0.332  -0.02
10 Br 0.326 0.001 0.668  -0.02
11 Sn 0.000 0.000 0.500  -0.12
12 Cs 0.000 0.000 0.000  0.00

Summary:
**Theoretical density**: 3.74 g/cm³
**Uncorrected formation energy**: -1053.5 kJ/mol of formula units